PBE RbBi6Au2, optimized geometry; calculated formation energy = 23 meV per atom; volume = 304 Å³ per cell; size of the total moment = 0.0 μB per formula unit
1.0
3.517 0.003 0.003
1.765 10.030 3.324
1.765 3.761 9.874
Rb Bi Au
1 6 2
Direct
0.000 0.000 0.000 Rb
0.332 0.885 0.456 Bi
0.668 0.115 0.544 Bi
0.668 0.544 0.115 Bi
0.500 0.338 0.662 Bi
0.500 0.662 0.338 Bi
0.332 0.456 0.885 Bi
0.250 0.245 0.245 Au
0.750 0.755 0.755 Au